The following is a DFT calculation (PBEsol) of crystalline BaBMo3 at its relaxed geometry.

The space group is Pm-3m (No. 221) and the conventional cell measures 4.898, 4.898 and 4.898 Å, with angles of 90.00, 90.00 and 90.00 degrees. The distinct sites, in fractional coordinates, are Ba at (0.000, 0.000, 0.000), B at (0.500, 0.500, 0.500) and Mo at (0.000, 0.000, 0.500).

The calculation puts the total energy at -24.038 eV per cell. As for the magnetization: 2.5 μB per formula unit.